Below is a relaxed Sm3TaN4 crystal, with properties calculated at the GGA-PBE level.

Values from the calculation:
- energy relative to the elements, uncorrected (kJ/mol of atoms) = -126
- energy above the most stable polymorph in this dataset (eV per atom) = 0.000
- crystal system = orthorhombic

POSCAR file:
```
Sm3TaN4
1.0
5.140 0.000 0.000
0.000 6.763 0.000
0.000 0.000 8.016
N Sm Ta
8 6 2
Direct
0.633 0.176 0.000
0.061 0.883 0.000
0.561 0.117 0.500
0.558 0.694 0.727
0.133 0.824 0.500
0.558 0.694 0.273
0.058 0.306 0.773
0.058 0.306 0.227
0.563 0.332 0.746
0.062 0.161 0.500
0.063 0.668 0.246
0.563 0.332 0.254
0.063 0.668 0.754
0.562 0.839 0.000
0.518 0.822 0.500
0.018 0.178 0.000
```